# 1
## NiHg2Mo (PBE-GGA)

Data for an optimized crystal structure of NiHg2Mo.

```
NiHg2Mo
1.0
2.987 0.000 0.000
0.000 4.826 0.000
0.000 0.000 4.895
Ni Hg Mo
1 2 1
Direct
0.000 0.000 0.000
0.000 0.500 0.500
0.500 0.500 0.000
0.500 0.000 0.500
```

Values from the calculation:
The value obtained for the total magnetization is 0.7 μB per formula unit. For the offset from the most stable computed form, the calculation gives 1.63 eV per formula unit. As for the volume: 71 Å³/f.u. As for the space-group type: Pmmm, No. 47. The formation energy is 0.69 eV per atom. The value obtained for the total energy is -14.47 eV per formula unit.

# 2
## Hf2ScPdF (PBE-GGA)

Data for an optimized crystal structure of Hf2ScPdF.

```
Hf2ScPdF
1.0
5.210 0.000 0.000
0.000 5.210 0.000
0.000 0.000 4.151
Hf Sc Pd F
2 1 1 1
Direct
0.000 0.500 0.000
0.500 0.000 0.000
0.000 0.000 0.500
0.500 0.500 0.000
0.500 0.500 0.500
```

Values from the calculation:
The value obtained for the total magnetization is 2.0 μB per formula unit. For the offset from the most stable computed form, the calculation gives 0.00 eV per formula unit. The formation energy from raw total energies comes out at 0.265 eV/atom. As for the volume: 113 Å³/f.u. As for the space-group type: P4/mmm, No. 123. The value obtained for the total energy is -31.98 eV per formula unit.

# 3
## CePr2Au8 (PBE-GGA)

Data for an optimized crystal structure of CePr2Au8.

```
CePr2Au8
1.0
4.062 -7.715 0.000
4.062 7.715 0.000
-3.396 0.000 4.020
Ce Pr Au
1 2 8
Direct
0.000 0.000 0.000
0.314 0.686 0.500
0.686 0.314 0.500
0.096 0.356 0.727
0.199 0.801 0.000
0.356 0.096 0.727
0.498 0.498 0.748
0.502 0.502 0.252
0.644 0.904 0.273
0.801 0.199 0.000
0.904 0.644 0.273
```

Values from the calculation:
The value obtained for the total magnetization is 1.2 μB per formula unit. As for the volume: 252 Å³/f.u. As for the space-group type: C2/m, No. 12. The formation energy is -0.64 eV per atom. The value obtained for the total energy is -48.79 eV per formula unit.

# 4
## Ce4Te3C2 (PBE-GGA)

Data for an optimized crystal structure of Ce4Te3C2.

```
Ce4Te3C2
1.0
6.951 -5.245 0.000
6.951 5.245 0.000
-0.052 0.000 6.622
Ce Te C
8 6 4
Direct
0.057 0.682 0.971
0.256 0.400 0.420
0.318 0.943 0.529
0.400 0.256 0.920
0.600 0.744 0.080
0.682 0.057 0.471
0.744 0.600 0.580
0.943 0.318 0.029
0.019 0.759 0.466
0.241 0.981 0.034
0.406 0.594 0.750
0.594 0.406 0.250
0.759 0.019 0.966
0.981 0.241 0.534
0.167 0.416 0.081
0.416 0.167 0.581
0.584 0.833 0.419
0.833 0.584 0.919
```

Values from the calculation:
The value obtained for the total magnetization is 2.1 μB per formula unit. The formation energy from raw total energies comes out at -0.878 eV/atom. As for the volume: 241 Å³/f.u. As for the space-group type: C2/c, No. 15. The value obtained for the total energy is -59.51 eV per formula unit.

# 5
## TbPr2ZnSe5 (PBE-GGA)

Data for an optimized crystal structure of TbPr2ZnSe5.

```
TbPr2ZnSe5
1.0
2.026 -8.958 0.000
2.026 8.958 0.000
0.000 0.000 12.549
Tb Pr Zn Se
2 4 2 10
Direct
0.197 0.803 0.500
0.803 0.197 0.000
0.115 0.885 0.168
0.130 0.870 0.803
0.870 0.130 0.303
0.885 0.115 0.668
0.449 0.551 0.930
0.551 0.449 0.430
0.040 0.960 0.539
0.290 0.710 0.161
0.315 0.685 0.837
0.356 0.644 0.488
0.495 0.505 0.256
0.505 0.495 0.756
0.644 0.356 0.988
0.685 0.315 0.337
0.710 0.290 0.661
0.960 0.040 0.039
```

Values from the calculation:
The value obtained for the total magnetization is 0.0 μB per formula unit. The formation energy from raw total energies comes out at -1.598 eV/atom. As for the volume: 228 Å³/f.u. As for the space-group type: Cmc2_1, No. 36. The value obtained for the total energy is -47.27 eV per formula unit.

# 6
## Ca2TbPrS4 (PBE-GGA)

Data for an optimized crystal structure of Ca2TbPrS4.

```
Ca2TbPrS4
1.0
6.927 0.000 0.000
0.000 3.996 0.000
-2.303 0.000 6.653
Ca Tb Pr S
2 1 1 4
Direct
0.000 0.000 0.000
0.500 0.500 0.000
0.000 0.500 0.500
0.500 0.000 0.500
0.240 0.500 0.245
0.243 0.000 0.750
0.757 0.000 0.250
0.760 0.500 0.755
```

Values from the calculation:
The value obtained for the total magnetization is 0.0 μB per formula unit. The formation energy from raw total energies comes out at -2.051 eV/atom. As for the volume: 184 Å³/f.u. As for the space-group type: P2/m, No. 10. The value obtained for the total energy is -46.33 eV per formula unit.

Q: Number 2 is which compound?
A: Hf2ScPdF